Record 1
First-principles (GGA-PBE) data for a relaxed structure of HfIn3C, as listed in Alexandria via LeMat-Bulk.

Cell lengths 5.642, 5.642, 5.642 Å; angles 90.00, 90.00, 90.00 degrees
Space group Pm-3m (No. 221)
Symmetry-distinct sites (fractional):
Hf  0.000  0.000  0.000
In  0.000  0.000  0.500
C  0.500  0.500  0.500

Values from the calculation:
Size of the total moment (μB/f.u.): 0.6
Formation energy (meV per atom): 1928

***

Record 2
First-principles (GGA-PBE) data for a relaxed structure of Hf4In2C, as listed in Alexandria via LeMat-Bulk.

Cell lengths 5.871, 3.231, 7.995 Å; angles 90.00, 106.42, 90.00 degrees
Space group P2/m (No. 10)
Symmetry-distinct sites (fractional):
Hf  0.087  0.000  0.303
Hf  0.252  0.500  0.011
In  0.367  0.500  0.650
C  0.000  0.000  0.000

Values from the calculation:
Size of the total moment (μB/f.u.): 0.0
Formation energy (meV per atom): -203

***

Record 3
First-principles (GGA-PBE) data for a relaxed structure of Hf4In2C, as listed in Alexandria via LeMat-Bulk.

Cell lengths 4.443, 4.443, 14.998 Å; angles 90.00, 90.00, 90.00 degrees
Space group I4/mmm (No. 139)
Symmetry-distinct sites (fractional):
Hf  0.000  0.000  0.150
Hf  0.000  0.500  0.000
In  0.000  0.000  0.353
C  0.000  0.000  0.000

Values from the calculation:
Size of the total moment (μB/f.u.): 0.0
Formation energy (meV per atom): -277

***

Record 4
First-principles (GGA-PBE) data for a relaxed structure of Hf8InC2, as listed in Alexandria via LeMat-Bulk.

Cell lengths 4.999, 5.708, 14.478 Å; angles 90.00, 90.00, 90.00 degrees
Space group Immm (No. 71)
Symmetry-distinct sites (fractional):
Hf  0.000  0.000  0.115
Hf  0.000  0.237  0.397
Hf  0.000  0.500  0.224
In  0.000  0.500  0.000
C  0.000  0.000  0.269

Values from the calculation:
Size of the total moment (μB/f.u.): 0.0
Formation energy (meV per atom): 36

***

What did the third record say?
First-principles (GGA-PBE) data for a relaxed structure of Hf4In2C, as listed in Alexandria via LeMat-Bulk.

Cell lengths 4.443, 4.443, 14.998 Å; angles 90.00, 90.00, 90.00 degrees
Space group I4/mmm (No. 139)
Symmetry-distinct sites (fractional):
Hf  0.000  0.000  0.150
Hf  0.000  0.500  0.000
In  0.000  0.000  0.353
C  0.000  0.000  0.000

Values from the calculation:
Size of the total moment (μB/f.u.): 0.0
Formation energy (meV per atom): -277